Record 1
{"formula": "Al4CuAg", "functional": "PBE", "state": "optimized geometry", "lattice": [[2.601, -3.909, 2.375], [-1.768, -4.942, -0.369], [2.639, -3.531, -2.873]], "species": ["Ag", "Al", "Al", "Al", "Al", "Cu"], "frac_coords": [[0.000, 0.000, 0.000], [0.126, 0.625, 0.625], [0.625, 0.126, 0.625], [0.625, 0.625, 0.126], [0.625, 0.625, 0.625], [0.250, 0.250, 0.250]], "vol_a3_per_cell": 103, "formation_energy_ev_per_atom": 0.250, "space_group": "F-43m"}



Record 2
{"formula": "CoSnBRu2", "functional": "PBE", "state": "optimized geometry", "lattice": [[-2.724, -2.828, 1.310], [2.274, -2.993, -1.732], [2.000, -0.394, 3.307]], "species": ["Ru", "Ru", "B", "Sn", "Co"], "frac_coords": [[0.500, 0.000, 0.000], [0.000, 0.500, 0.000], [0.000, 0.000, 0.000], [0.500, 0.500, 0.500], [0.000, 0.000, 0.500]], "vol_a3_per_cell": 67, "formation_energy_ev_per_atom": -0.110, "space_group": "P4/mmm"}



Record 3
{"formula": "LaTl2TePt", "functional": "PBE", "state": "optimized geometry", "lattice": [[-4.005, 1.000, -4.824], [0.672, -4.833, -1.559], [-4.856, -1.852, 3.648]], "species": ["Te", "Tl", "Tl", "La", "Pt"], "frac_coords": [[0.500, 0.500, 0.500], [0.000, 0.000, 0.500], [0.500, 0.000, 0.000], [0.000, 0.000, 0.000], [0.000, 0.500, 0.000]], "vol_a3_per_cell": 206, "raw_formation_energy_ev_per_atom": 0.38, "space_group": "P4/mmm"}



Record 4
{"formula": "FeCoAg2", "functional": "PBE", "state": "optimized geometry", "lattice": [[4.895, 0.014, 0.000], [1.930, 4.499, 0.000], [-3.412, -2.256, 2.688]], "species": ["Fe", "Ag", "Ag", "Co"], "frac_coords": [[0.750, 0.250, 0.500], [0.000, 0.000, 0.000], [0.500, 0.500, 0.000], [0.250, 0.750, 0.500]], "vol_a3_per_cell": 59, "formation_energy_ev_per_atom": 0.431, "space_group": "I4/mmm"}



Record 5
{"formula": "TaCu2W", "functional": "PBE", "state": "optimized geometry", "lattice": [[-3.872, 1.574, -1.994], [1.279, -1.932, -4.010], [-1.289, -2.293, 0.693]], "species": ["Cu", "Cu", "W", "Ta"], "frac_coords": [[0.000, 0.000, 0.000], [0.500, 0.500, 0.000], [0.000, 0.500, 0.500], [0.500, 0.000, 0.500]], "vol_a3_per_cell": 58, "formation_energy_ev_per_atom": 0.364, "space_group": "P4/mmm"}



Record 6
{"formula": "LaMnTc2", "functional": "PBE", "state": "optimized geometry", "lattice": [[-0.795, 4.728, -2.947], [-4.810, 2.842, 0.670], [4.807, -2.001, 2.136]], "species": ["Tc", "Tc", "Mn", "La"], "frac_coords": [[0.034, 0.034, 0.000], [0.466, 0.466, 0.000], [0.250, 0.750, 0.500], [0.750, 0.250, 0.500]], "vol_a3_per_cell": 70, "formation_energy_ev_per_atom": 0.482, "space_group": "Immm"}



| no. | E (eV per cell) |
| --- | --- |
| 1 | -20.42 |
| 2 | -36.89 |
| 3 | -16.93 |
| 4 | -19.55 |
| 5 | -31.54 |
| 6 | -32.90 |